Computed, not measured: a relaxed structure of YZr2Pb2 at the GGA-PBE level of DFT.

energy relative to the lowest polymorph listed for this composition	0	meV per atom
D(E_F)	15.6	states/eV/cell
uncorrected energy	-32.1	eV per formula unit

Cell lengths 8.0871, 8.0871, 3.9312 Å; angles 90.00, 90.00, 90.00 degrees
Fractional positions:
1 Y 0.0000 0.0000 0.0000
2 Y 0.5000 0.5000 0.0000
3 Zr 0.1597 0.3403 0.5000
4 Zr 0.3403 0.8403 0.5000
5 Zr 0.6597 0.1597 0.5000
6 Zr 0.8403 0.6597 0.5000
7 Pb 0.1394 0.6394 0.0000
8 Pb 0.3606 0.1394 0.0000
9 Pb 0.6394 0.8606 0.0000
10 Pb 0.8606 0.3606 0.0000

***

Computed, not measured: a relaxed structure of Mg14BiB at the GGA-PBE level of DFT.

energy relative to the lowest polymorph listed for this composition	0	meV per atom
D(E_F)	5.7	states/eV/cell
uncorrected energy	-30.3	eV per formula unit

Cell lengths 10.0530, 6.4033, 6.4033 Å; angles 60.12, 90.00, 90.00 degrees
Fractional positions:
1 Mg 0.0000 0.0000 0.0000
2 Mg 0.0000 0.0045 0.4900
3 Mg 0.0000 0.4900 0.0045
4 Mg 0.0000 0.4991 0.4991
5 Mg 0.2446 0.8289 0.8289
6 Mg 0.2610 0.3446 0.8187
7 Mg 0.2610 0.8187 0.3446
8 Mg 0.2626 0.3388 0.3388
9 Mg 0.5000 0.0100 0.5085
10 Mg 0.5000 0.5085 0.0100
11 Mg 0.7374 0.3388 0.3388
12 Mg 0.7390 0.3446 0.8187
13 Mg 0.7390 0.8187 0.3446
14 Mg 0.7554 0.8289 0.8289
15 Bi 0.5000 0.0035 0.0035
16 B 0.5000 0.4364 0.4364

***

Computed, not measured: a relaxed structure of BaAgMo2 at the GGA-PBE level of DFT.

energy relative to the lowest polymorph listed for this composition	737	meV per atom
D(E_F)	8.9	states/eV/cell
uncorrected energy	-21.4	eV per formula unit

Cell lengths 5.7984, 10.4953, 2.8222 Å; angles 90.00, 90.00, 90.00 degrees
Fractional positions:
1 Ba 0.0000 0.0000 0.0000
2 Ba 0.5000 0.5000 0.0000
3 Ag 0.0000 0.5000 0.0000
4 Ag 0.5000 0.0000 0.0000
5 Mo 0.2500 0.2500 0.5000
6 Mo 0.2500 0.7500 0.5000
7 Mo 0.7500 0.2500 0.5000
8 Mo 0.7500 0.7500 0.5000

***

Computed, not measured: a relaxed structure of Er4SnHgC at the GGA-PBE level of DFT.

D(E_F)	5.9	states/eV/cell
uncorrected energy	-35.3	eV per formula unit

Cell lengths 8.2723, 8.2723, 6.8170 Å; angles 90.00, 90.00, 131.16 degrees
Fractional positions:
1 Er 0.0000 0.5000 0.0000
2 Er 0.0000 0.5000 0.5000
3 Er 0.0835 0.9165 0.7500
4 Er 0.4106 0.5894 0.7500
5 Er 0.5000 0.0000 0.0000
6 Er 0.5000 0.0000 0.5000
7 Er 0.5894 0.4106 0.2500
8 Er 0.9165 0.0835 0.2500
9 Sn 0.3846 0.6154 0.2500
10 Sn 0.6154 0.3846 0.7500
11 Hg 0.1159 0.8841 0.2500
12 Hg 0.8841 0.1159 0.7500
13 C 0.2490 0.7510 0.7500
14 C 0.7510 0.2490 0.2500